(1)
VASP calculation (PBE) on a relaxed CsW crystal.

## Properties
E_form	1.964	eV/atom
energy above the most stable polymorph in this dataset	745	meV/atom

a = 7.0319 Å, b = 11.0085 Å, c = 16.3354 Å
α = 90.00°, β = 90.00°, γ = 90.00°
Space group Fddd (No. 70, origin choice 2)
One atom of each set of equivalent atoms:
Cs1 0.1250 0.2909 0.1250 [16 per cell]
W1 0.1250 0.1250 0.5594 [16 per cell]

=====

(2)
VASP calculation (PBE) on a relaxed CaIn2Cl crystal.

## Properties
energy above the most stable polymorph in this dataset	610	meV/atom
formation energy from raw total energies	-0.22	eV/atom

a = 7.7936 Å, b = 7.7936 Å, c = 7.7936 Å
α = 90.00°, β = 90.00°, γ = 90.00°
Space group Fm-3m (No. 225)
One atom of each set of equivalent atoms:
Ca1 0.0000 0.0000 0.0000 [4 per cell]
In1 0.2500 0.2500 0.2500 [8 per cell]
Cl1 0.0000 0.0000 0.5000 [4 per cell]

=====

(3)
VASP calculation (PBE) on a relaxed Ba2DyTmO5 crystal.

## Properties
formation energy from raw total energies	-3.08	eV/atom

a = 3.6787 Å, b = 14.3207 Å, c = 12.3468 Å
α = 90.00°, β = 90.00°, γ = 90.00°
Space group Cmc2_1 (No. 36)
One atom of each set of equivalent atoms:
Ba1 0.0000 0.0896 0.0000 [4 per cell]
Ba2 0.0000 0.1515 0.6225 [4 per cell]
Dy1 0.0000 0.2229 0.3500 [4 per cell]
Tm1 0.0000 0.4687 0.7777 [4 per cell]
O1 0.0000 0.0598 0.3603 [4 per cell]
O2 0.0000 0.2707 0.9744 [4 per cell]
O3 0.0000 0.3104 0.7405 [4 per cell]
O4 0.0000 0.3785 0.3251 [4 per cell]
O5 0.0000 0.4919 0.1124 [4 per cell]

=====

(4)
VASP calculation (PBE) on a relaxed YNi5Hg crystal.

## Properties
E_form	-0.219	eV/atom

a = 8.1209 Å, b = 4.8453 Å, c = 10.3366 Å
α = 90.00°, β = 90.00°, γ = 90.00°
Space group Pnma (No. 62)
One atom of each set of equivalent atoms:
Y1 0.2465 0.2500 0.0616 [4 per cell]
Ni1 0.0481 0.7500 0.1113 [4 per cell]
Ni2 0.0680 0.9998 0.3135 [8 per cell]
Ni3 0.0785 0.2500 0.5166 [4 per cell]
Ni4 0.1881 0.2500 0.7386 [4 per cell]
Hg1 0.1364 0.7500 0.8657 [4 per cell]

=====

(5)
VASP calculation (PBE) on a relaxed NaTl6Hg23 crystal.

## Properties
E_form	-0.013	eV/atom

a = 15.0133 Å, b = 15.0133 Å, c = 15.0133 Å
α = 90.00°, β = 90.00°, γ = 90.00°
Space group Fm-3m (No. 225)
One atom of each set of equivalent atoms:
Na1 0.0000 0.0000 0.0000 [4 per cell]
Tl1 0.0000 0.0000 0.2701 [24 per cell]
Hg1 0.0000 0.0000 0.5000 [4 per cell]
Hg2 0.0000 0.2500 0.2500 [24 per cell]
Hg3 0.1233 0.1233 0.1233 [32 per cell]
Hg4 0.1455 0.1455 0.3545 [32 per cell]

=====

(6)
VASP calculation (PBE) on a relaxed TbNd12Sc3 crystal.

## Properties
E_form	0.032	eV/atom

a = 5.0811 Å, b = 5.0811 Å, c = 20.2966 Å
α = 90.00°, β = 90.00°, γ = 90.00°
Space group P4/mmm (No. 123)
One atom of each set of equivalent atoms:
Tb1 0.0000 0.0000 0.0000 [1 per cell]
Nd1 0.0000 0.5000 0.1288 [4 per cell]
Nd2 0.0000 0.5000 0.3763 [4 per cell]
Nd3 0.5000 0.5000 0.0000 [1 per cell]
Nd4 0.5000 0.5000 0.2526 [2 per cell]
Nd5 0.5000 0.5000 0.5000 [1 per cell]
Sc1 0.0000 0.0000 0.2524 [2 per cell]
Sc2 0.0000 0.0000 0.5000 [1 per cell]

=====

(7)
VASP calculation (PBE) on a relaxed RbErMg2Cl8 crystal.

## Properties
formation energy from raw total energies	-1.97	eV/atom

a = 6.5438 Å, b = 6.5760 Å, c = 9.1145 Å
α = 76.04°, β = 77.19°, γ = 75.80°
Space group P-1 (No. 2)
One atom of each set of equivalent atoms:
Rb1 0.0000 0.0000 0.0000 [1 per cell]
Er1 0.0000 0.0000 0.5000 [1 per cell]
Mg1 0.4575 0.4494 0.2115 [2 per cell]
Cl1 0.1885 0.7291 0.7213 [2 per cell]
Cl2 0.2406 0.7813 0.2930 [2 per cell]
Cl3 0.2812 0.2391 0.4478 [2 per cell]
Cl4 0.3619 0.3140 0.0188 [2 per cell]

=====

(8)
VASP calculation (PBE) on a relaxed Th3BiCS crystal.

## Properties
formation energy from raw total energies	-0.67	eV/atom

a = 7.8856 Å, b = 4.1072 Å, c = 10.1650 Å
α = 90.00°, β = 107.10°, γ = 90.00°
Space group P2_1/m (No. 11)
One atom of each set of equivalent atoms:
Th1 0.0646 0.2500 0.3777 [2 per cell]
Th2 0.2106 0.2500 0.9081 [2 per cell]
Th3 0.3855 0.7500 0.6303 [2 per cell]
Bi1 0.2470 0.7500 0.2024 [2 per cell]
C1 0.1668 0.2500 0.6409 [2 per cell]
S1 0.4355 0.7500 0.8970 [2 per cell]